Computed, not measured: PrNdSc2 after structural relaxation at the PBE level of DFT.

Unit cell a=3.6148 b=5.8002 c=5.8002 alpha=102.88 beta=90.00 gamma=90.00
Sites, in units of the cell vectors:
Sc (0.0000, 0.0000, 0.5000)
Sc (0.0000, 0.5000, 0.0000)
Pr (0.5000, 0.0000, 0.0000)
Nd (0.5000, 0.5000, 0.5000)

VASP energy	-5.500	eV/atom
M_tot	0.00	μB/cell
symmetry	No. 65

=====

Computed, not measured: Y5TmBi6 after structural relaxation at the PBE level of DFT.

Unit cell a=7.7488 b=7.7524 c=7.7511 alpha=59.99 beta=80.40 gamma=70.52
Sites, in units of the cell vectors:
Y (0.0000, 0.3337, 0.3327)
Y (0.0000, 0.6663, 0.6673)
Y (0.5000, 0.1677, 0.6647)
Y (0.5000, 0.5000, 0.0000)
Y (0.5000, 0.8323, 0.3353)
Bi (0.2492, 0.2478, 0.0000)
Bi (0.2484, 0.9173, 0.6688)
Bi (0.7516, 0.0827, 0.3312)
Bi (0.2484, 0.5861, 0.3312)
Bi (0.7516, 0.4139, 0.6688)
Bi (0.7508, 0.7522, 0.0000)
Tm (0.0000, 0.0000, 0.0000)

VASP energy	-5.885	eV/atom
M_tot	0.00	μB/cell
symmetry	No. 12

=====

Computed, not measured: Ni2RhAu after structural relaxation at the PBE level of DFT.

Unit cell a=4.5391 b=4.5391 c=2.7462 alpha=89.97 beta=89.97 gamma=105.28
Sites, in units of the cell vectors:
Ni (0.0000, 0.0000, 0.0000)
Ni (0.5000, 0.5000, 0.0000)
Rh (0.5000, 0.0000, 0.5000)
Au (0.0000, 0.5000, 0.5000)

VASP energy	-5.415	eV/atom
M_tot	1.95	μB/cell
symmetry	No. 65

=====

Computed, not measured: La3Ce3MgTe8 after structural relaxation at the PBE level of DFT.

Unit cell a=9.0186 b=9.0168 c=9.0732 alpha=119.77 beta=90.00 gamma=120.02
Sites, in units of the cell vectors:
Te (0.7484, 0.4968, 0.7453)
Te (0.2435, 0.0030, 0.2626)
Te (0.2516, 0.5032, 0.2547)
Te (0.7594, 0.5187, 0.2623)
Te (0.2407, 0.9970, 0.7376)
Te (0.7593, 0.0030, 0.2624)
Te (0.7565, 0.9970, 0.7374)
Te (0.2406, 0.4813, 0.7377)
Ce (0.5000, 0.5000, 0.5000)
Ce (0.5000, 0.0000, 0.5000)
Ce (0.0000, 0.5000, 0.5000)
La (0.5000, 0.5000, 0.0000)
La (0.0000, 0.5000, 0.0000)
La (0.0000, 0.0000, 0.0000)
Mg (0.0000, 0.0000, 0.5000)

VASP energy	-5.333	eV/atom
M_tot	3.53	μB/cell
symmetry	No. 166
formation energy from raw total energies	-20.69	eV/f.u.

=====

Computed, not measured: GaBIO2 after structural relaxation at the PBE level of DFT.

Unit cell a=3.7244 b=4.8118 c=3.7244 alpha=90.00 beta=90.00 gamma=90.00
Sites, in units of the cell vectors:
O (0.0000, 0.0000, 0.5000)
O (0.5000, 0.0000, 0.0000)
B (0.0000, 0.0000, 0.0000)
I (0.0000, 0.5000, 0.0000)
Ga (0.5000, 0.5000, 0.5000)

VASP energy	-3.870	eV/atom
M_tot	0.34	μB/cell
symmetry	No. 123
formation energy from raw total energies	1.82	eV/f.u.

=====

Computed, not measured: NaTbPmSn after structural relaxation at the PBE level of DFT.

Unit cell a=5.4032 b=5.4032 c=5.4032 alpha=60.00 beta=60.00 gamma=60.00
Sites, in units of the cell vectors:
Sn (0.2500, 0.2500, 0.2500)
Pm (0.0000, 0.0000, 0.0000)
Na (0.7500, 0.7500, 0.7500)
Tb (0.5000, 0.5000, 0.5000)

VASP energy	-3.977	eV/atom
M_tot	0.00	μB/cell
symmetry	No. 216

=====

Computed, not measured: Tc2MoRu after structural relaxation at the PBE level of DFT.

Unit cell a=3.2018 b=3.2018 c=5.8820 alpha=90.00 beta=90.00 gamma=90.00
Sites, in units of the cell vectors:
Tc (0.5000, 0.5000, 0.2284)
Tc (0.0000, 0.0000, 0.0261)
Ru (0.5000, 0.5000, 0.7358)
Mo (0.0000, 0.0000, 0.5098)

VASP energy	-9.969	eV/atom
M_tot	0.00	μB/cell
symmetry	No. 99

=====

Computed, not measured: Ca2Pd2Au after structural relaxation at the PBE level of DFT.

Unit cell a=5.5052 b=5.5052 c=5.5756 alpha=60.42 beta=60.42 gamma=90.00
Sites, in units of the cell vectors:
Ca (0.2500, 0.7500, 0.5000)
Ca (0.7500, 0.2500, 0.5000)
Pd (0.3390, 0.3390, 0.3220)
Pd (0.6610, 0.6610, 0.6780)
Au (0.0000, 0.0000, 0.0000)

VASP energy	-4.053	eV/atom
M_tot	0.00	μB/cell
symmetry	No. 139

=====

no.,V (A^3/atom)
1,29.637
2,31.679
3,13.645
4,34.892
5,13.349
6,27.886
7,15.074
8,24.195